HfTiN2 | GGA-PBE | relaxed

Cell: 6.260 6.260 6.260 Å, 30.56 30.56 30.56°
Fractional positions:
Hf 0.000 0.000 0.000
Ti 0.500 0.500 0.500
N 0.393 0.393 0.393
N 0.607 0.607 0.607

Calculated values
The calculation puts the density of states at the Fermi level at 0.41 states/eV/cell. The energy comes out at -39.26 eV for the cell shown. The calculation puts the formation energy (no corrections) at -1.1911 eV/atom.